No. 1
Sr2AgIr | PBE | relaxed

The structure belongs to space group Pmmm (No. 47); the cell edges are 3.599, 3.721 and 7.959 Å and the angles 90.00°, 90.00° and 90.00°. The distinct sites, in fractional coordinates, are Sr at (0.000, 0.000, 0.221), Ag at (0.500, 0.500, 0.500) and Ir at (0.500, 0.500, 0.000).

The calculation puts the raw total energy at -3.8968 eV per atom. Its formation energy is -0.128 eV/atom.

No. 2
SrPaPt | PBE | relaxed

The structure belongs to space group P4/nmm (No. 129, origin choice 2); the cell edges are 4.338, 4.338 and 8.997 Å and the angles 90.00°, 90.00° and 90.00°. The distinct sites, in fractional coordinates, are Sr at (0.250, 0.250, 0.142), Pa at (0.250, 0.750, 0.500) and Pt at (0.250, 0.250, 0.728).

The calculation puts the raw total energy at -6.1907 eV per atom. Its formation energy is -0.451 eV/atom.

No. 3
FePt2Cl | PBE | relaxed

The structure belongs to space group Pmmm (No. 47); the cell edges are 2.811, 4.688 and 4.848 Å and the angles 90.00°, 90.00° and 90.00°. The distinct sites, in fractional coordinates, are Fe at (0.000, 0.000, 0.000), Pt at (0.000, 0.500, 0.500), Pt at (0.500, 0.000, 0.500) and Cl at (0.500, 0.500, 0.000).

The calculation puts the raw total energy at -5.2325 eV per atom. The calculation puts the energy above the lowest structure with this stoichiometry at 7.52 kcal/mol of atoms. As for the formation energy from raw total energies: 0.365 eV/atom.

No. 4
NdHfAl2 | PBE | relaxed

The structure belongs to space group P4/mmm (No. 123); the cell edges are 3.626, 3.626 and 6.765 Å and the angles 90.00°, 90.00° and 90.00°. The distinct sites, in fractional coordinates, are Nd at (0.000, 0.000, 0.000), Hf at (0.000, 0.000, 0.500) and Al at (0.500, 0.500, 0.296).

The calculation puts the raw total energy at -5.8202 eV per atom. Its formation energy is -0.269 eV/atom. The calculation puts the energy above the lowest structure with this stoichiometry at 0.00 kcal/mol of atoms.

No. 5
Tm2Ga3Cu12Ni | PBE | relaxed

The structure belongs to space group R-3m (No. 166, hexagonal axes); the cell edges are 5.1923, 5.1923 and 35.5764 Å and the angles 90.00°, 90.00° and 120.00°. The distinct sites, in fractional coordinates, are Tm at (0.0000, 0.0000, 0.1449), Ga at (0.0000, 0.5000, 0.0000), Cu at (0.0003, 0.5001, 0.1125), Cu at (0.0122, 0.5061, 0.6089) and Ni at (0.0000, 0.0000, 0.5000).

The calculation puts the raw total energy at -4.0266 eV per atom. Its formation energy is 0.027 eV/atom.

No. 6
KRb2PtF8 | PBE | relaxed

The structure belongs to space group P-3m1 (No. 164); the cell edges are 7.4588, 7.4588 and 6.6466 Å and the angles 90.00°, 90.00° and 120.00°. The distinct sites, in fractional coordinates, are K at (0.0000, 0.0000, 0.0000), Rb at (0.3333, 0.6667, 0.7154), Pt at (0.0000, 0.0000, 0.5000), F at (0.1225, 0.2450, 0.6749) and F at (0.3333, 0.6667, 0.1291).

The calculation puts the raw total energy at -3.9665 eV per atom. As for the formation energy from raw total energies: -1.963 eV/atom.

No. 7
MgAsSe2F | PBE | relaxed

The structure belongs to space group P4/mmm (No. 123); the cell edges are 5.156, 5.156 and 3.967 Å and the angles 90.00°, 90.00° and 90.00°. The distinct sites, in fractional coordinates, are Mg at (0.000, 0.000, 0.000), As at (0.500, 0.500, 0.000), Se at (0.000, 0.500, 0.500) and F at (0.500, 0.500, 0.500).

The calculation puts the raw total energy at -3.0662 eV per atom. The calculation puts the energy above the lowest structure with this stoichiometry at 0.00 kcal/mol of atoms. As for the formation energy from raw total energies: -0.049 eV/atom.

No. 8
SmTmCuPt | PBE | relaxed

The structure belongs to space group F-43m (No. 216); the cell edges are 6.996, 6.996 and 6.996 Å and the angles 90.00°, 90.00° and 90.00°. The distinct sites, in fractional coordinates, are Sm at (0.000, 0.000, 0.000), Tm at (0.000, 0.000, 0.500), Cu at (0.250, 0.250, 0.750) and Pt at (0.250, 0.250, 0.250).

The calculation puts the raw total energy at -5.5741 eV per atom. Its formation energy is -0.742 eV/atom. The calculation puts the energy above the lowest structure with this stoichiometry at 0.87 kcal/mol of atoms.

No. 9
BeAsSe2 | PBE | relaxed

The structure belongs to space group Pm (No. 6); the cell edges are 4.258, 3.439 and 6.785 Å and the angles 90.00°, 108.24° and 90.00°. The distinct sites, in fractional coordinates, are Be at (0.000, 0.000, 0.000), As at (0.485, 0.500, 0.096), Se at (0.723, 0.500, 0.811) and Se at (0.928, 0.000, 0.315).

The calculation puts the raw total energy at -3.9522 eV per atom. The calculation puts the energy above the lowest structure with this stoichiometry at 0.00 kcal/mol of atoms. As for the formation energy from raw total energies: -0.116 eV/atom.

No. 10
Sr4LiGa2 | PBE | relaxed

The structure belongs to space group R-3m (No. 166, hexagonal axes); the cell edges are 5.5858, 5.5858 and 27.2517 Å and the angles 90.00°, 90.00° and 120.00°. The distinct sites, in fractional coordinates, are Sr at (0.0000, 0.0000, 0.1214), Sr at (0.0000, 0.0000, 0.3725), Li at (0.0000, 0.0000, 0.5000) and Ga at (0.0000, 0.0000, 0.2454).

The calculation puts the raw total energy at -2.2979 eV per atom. Its formation energy is -0.199 eV/atom.

No. 11
Pa3Si6Rh20 | PBE | relaxed

The structure belongs to space group Fm-3m (No. 225); the cell edges are 12.094, 12.094 and 12.094 Å and the angles 90.00°, 90.00° and 90.00°. The distinct sites, in fractional coordinates, are Pa at (0.000, 0.000, 0.000), Pa at (0.250, 0.250, 0.250), Si at (0.000, 0.000, 0.276), Rh at (0.000, 0.169, 0.169) and Rh at (0.123, 0.123, 0.377).

The calculation puts the raw total energy at -7.9555 eV per atom. As for the formation energy from raw total energies: -0.781 eV/atom.

No. 12
CaGdSiAg | PBE | relaxed

The structure belongs to space group F-43m (No. 216); the cell edges are 7.227, 7.227 and 7.227 Å and the angles 90.00°, 90.00° and 90.00°. The distinct sites, in fractional coordinates, are Ca at (0.000, 0.000, 0.000), Gd at (0.000, 0.000, 0.500), Si at (0.250, 0.250, 0.250) and Ag at (0.250, 0.250, 0.750).

The calculation puts the raw total energy at -6.5204 eV per atom. As for the formation energy from raw total energies: -0.431 eV/atom.

No. 13
BeHg2 | PBE | relaxed

The structure belongs to space group I4/mmm (No. 139); the cell edges are 3.081, 3.081 and 11.758 Å and the angles 90.00°, 90.00° and 90.00°. The distinct sites, in fractional coordinates, are Be at (0.000, 0.000, 0.000) and Hg at (0.000, 0.000, 0.362).

The calculation puts the raw total energy at -1.0172 eV per atom. Its formation energy is 0.426 eV/atom. The calculation puts the energy above the lowest structure with this stoichiometry at 2.85 kcal/mol of atoms.

No. 14
Dy4GaRh3 | PBE | relaxed

The structure belongs to space group Pmm2 (No. 25); the cell edges are 3.724, 4.404 and 10.603 Å and the angles 90.00°, 90.00° and 90.00°. The distinct sites, in fractional coordinates, are Dy at (0.000, 0.000, 0.000), Dy at (0.000, 0.500, 0.269), Dy at (0.500, 0.000, 0.480), Dy at (0.500, 0.500, 0.776), Ga at (0.000, 0.000, 0.701), Rh at (0.000, 0.500, 0.561), Rh at (0.500, 0.000, 0.219) and Rh at (0.500, 0.500, 0.041).

The calculation puts the raw total energy at -6.2294 eV per atom. Its formation energy is -0.793 eV/atom.

No. 15
CdOs2Cl | PBE | relaxed

The structure belongs to space group P4/mmm (No. 123); the cell edges are 4.615, 4.615 and 3.043 Å and the angles 90.00°, 90.00° and 90.00°. The distinct sites, in fractional coordinates, are Cd at (0.000, 0.000, 0.000), Os at (0.000, 0.500, 0.500) and Cl at (0.500, 0.500, 0.000).

The calculation puts the raw total energy at -4.7475 eV per atom. The calculation puts the energy above the lowest structure with this stoichiometry at 30.36 kcal/mol of atoms. As for the formation energy from raw total energies: 1.558 eV/atom.

No. 16
RbZnCl3 | PBE | relaxed

The structure belongs to space group P4mm (No. 99); the cell edges are 4.629, 4.629 and 8.176 Å and the angles 90.00°, 90.00° and 90.00°. The distinct sites, in fractional coordinates, are Rb at (0.000, 0.000, 0.000), Zn at (0.500, 0.500, 0.383), Cl at (0.000, 0.000, 0.638) and Cl at (0.000, 0.500, 0.289).

The calculation puts the raw total energy at -2.5297 eV per atom. As for the formation energy from raw total energies: -0.973 eV/atom.

No. 17
Sr2LaHg4 | PBE | relaxed

The structure belongs to space group I4/mmm (No. 139); the cell edges are 5.674, 5.674 and 14.358 Å and the angles 90.00°, 90.00° and 90.00°. The distinct sites, in fractional coordinates, are Sr at (0.000, 0.000, 0.229), La at (0.000, 0.000, 0.500) and Hg at (0.000, 0.500, 0.113).

The calculation puts the raw total energy at -1.7614 eV per atom. Its formation energy is -0.405 eV/atom.

No. 18
Y2FeCo | PBE | relaxed

The structure belongs to space group F-43m (No. 216); the cell edges are 6.687, 6.687 and 6.687 Å and the angles 90.00°, 90.00° and 90.00°. The distinct sites, in fractional coordinates, are Y at (0.000, 0.000, 0.000), Y at (0.250, 0.250, 0.250), Fe at (0.250, 0.250, 0.750) and Co at (0.000, 0.000, 0.500).

The calculation puts the raw total energy at -6.7732 eV per atom. Its formation energy is 0.351 eV/atom. The calculation puts the energy above the lowest structure with this stoichiometry at 11.04 kcal/mol of atoms.

No. 19
Na2PtCl7 | PBE | relaxed

The structure belongs to space group C2/c (No. 15); the cell edges are 12.746, 10.755 and 10.288 Å and the angles 90.00°, 112.00° and 90.00°. The distinct sites, in fractional coordinates, are Na at (0.186, 0.097, 0.074), Pt at (0.000, 0.348, 0.750), Cl at (0.000, 0.439, 0.250), Cl at (0.001, 0.005, 0.127), Cl at (0.122, 0.343, 0.985) and Cl at (0.153, 0.331, 0.679).

The calculation puts the raw total energy at -2.9542 eV per atom. As for the formation energy from raw total energies: -0.794 eV/atom.

No. 20
NdPd2Au6 | PBE | relaxed

The structure belongs to space group Immm (No. 71); the cell edges are 3.113, 7.944 and 14.095 Å and the angles 90.00°, 90.00° and 90.00°. The distinct sites, in fractional coordinates, are Nd at (0.000, 0.000, 0.000), Pd at (0.000, 0.500, 0.150), Au at (0.000, 0.170, 0.500) and Au at (0.000, 0.323, 0.325).

The calculation puts the raw total energy at -4.0854 eV per atom. Its formation energy is -0.217 eV/atom.

No. 21
CoAg2Cl | PBE | relaxed

The structure belongs to space group Cmmm (No. 65); the cell edges are 5.457, 8.791 and 2.913 Å and the angles 90.00°, 90.00° and 90.00°. The distinct sites, in fractional coordinates, are Co at (0.000, 0.000, 0.000), Ag at (0.250, 0.250, 0.500) and Cl at (0.000, 0.500, 0.000).

The calculation puts the raw total energy at -3.1744 eV per atom. The calculation puts the energy above the lowest structure with this stoichiometry at 8.30 kcal/mol of atoms. As for the formation energy from raw total energies: 0.489 eV/atom.

No. 22
Cs2AsAu | PBE | relaxed

The structure belongs to space group P2_1/m (No. 11); the cell edges are 6.630, 4.761 and 10.596 Å and the angles 90.00°, 98.12° and 90.00°. The distinct sites, in fractional coordinates, are Cs at (0.225, 0.250, 0.419), Cs at (0.268, 0.750, 0.070), As at (0.202, 0.250, 0.764) and Au at (0.305, 0.750, 0.731).

The calculation puts the raw total energy at -2.8629 eV per atom. Its formation energy is -0.454 eV/atom.

No. 23
La9In3C2 | PBE | relaxed

The structure belongs to space group P-3m1 (No. 164); the cell edges are 7.3301, 7.3301 and 9.0330 Å and the angles 90.00°, 90.00° and 120.00°. The distinct sites, in fractional coordinates, are La at (0.0000, 0.5000, 0.0000), La at (0.1707, 0.3414, 0.6710), In at (0.0000, 0.0000, 0.0000), In at (0.3333, 0.6667, 0.3336) and C at (0.3333, 0.6667, 0.8201).

The calculation puts the raw total energy at -5.4278 eV per atom. Its formation energy is -0.356 eV/atom.

No. 24
Ca2YThSb4 | PBE | relaxed

The structure belongs to space group P2/m (No. 10); the cell edges are 7.765, 4.508 and 7.831 Å and the angles 90.00°, 109.47° and 90.00°. The distinct sites, in fractional coordinates, are Ca at (0.000, 0.000, 0.000), Ca at (0.500, 0.500, 0.000), Y at (0.000, 0.500, 0.500), Th at (0.500, 0.000, 0.500), Sb at (0.243, 0.000, 0.741) and Sb at (0.248, 0.500, 0.256).

The calculation puts the raw total energy at -5.2621 eV per atom. As for the formation energy from raw total energies: -0.965 eV/atom.

No. 25
MnCoCl | PBE | relaxed

The structure belongs to space group F-43m (No. 216); the cell edges are 5.683, 5.683 and 5.683 Å and the angles 90.00°, 90.00° and 90.00°. The distinct sites, in fractional coordinates, are Mn at (0.000, 0.000, 0.000), Co at (0.250, 0.250, 0.250) and Cl at (0.000, 0.000, 0.500).

The calculation puts the raw total energy at -5.4061 eV per atom. As for the formation energy from raw total energies: 0.635 eV/atom.